(1)
Entry from Alexandria via LeMat-Bulk: a relaxed DyCrFeC2 crystal (GGA-PBE).

Cell and atoms, written as POSCAR:
```
DyCrFeC2
1.0
-1.759 1.759 4.814
1.759 -1.759 4.814
1.759 1.759 -4.814
Dy Cr Fe C
1 1 1 2
Direct
0.000 0.000 0.000 Dy
0.750 0.250 0.500 Cr
0.250 0.750 0.500 Fe
0.339 0.339 0.000 C
0.661 0.661 0.000 C
```

## Properties
Space-group type: I-4m2
Energy relative to the elements, eV/atom: -0.14



(2)
Entry from Alexandria via LeMat-Bulk: a relaxed Dy2HoCr2C4 crystal (GGA-PBE).

Cell and atoms, written as POSCAR:
```
Dy2HoCr2C4
1.0
6.526 -1.702 0.000
6.526 1.702 0.000
-2.055 0.000 5.590
Dy Ho Cr C
2 1 2 4
Direct
0.135 0.135 0.043 Dy
0.865 0.865 0.957 Dy
0.000 0.000 0.500 Ho
0.320 0.320 0.511 Cr
0.680 0.680 0.489 Cr
0.216 0.216 0.689 C
0.457 0.457 0.747 C
0.543 0.543 0.253 C
0.784 0.784 0.311 C
```

## Properties
Space-group type: C2/m
Energy relative to the elements, eV/atom: -0.13



(3)
Entry from Alexandria via LeMat-Bulk: a relaxed DyHo2Cr2C4 crystal (GGA-PBE).

Cell and atoms, written as POSCAR:
```
DyHo2Cr2C4
1.0
6.522 -1.700 0.000
6.522 1.700 0.000
-2.093 0.000 5.573
Dy Ho Cr C
1 2 2 4
Direct
0.000 0.000 0.000 Dy
0.135 0.135 0.543 Ho
0.865 0.865 0.457 Ho
0.321 0.321 0.013 Cr
0.679 0.679 0.987 Cr
0.216 0.216 0.191 C
0.458 0.458 0.252 C
0.542 0.542 0.748 C
0.784 0.784 0.809 C
```

## Properties
Space-group type: C2/m
Energy relative to the elements, eV/atom: -0.12



(4)
Entry from Alexandria via LeMat-Bulk: a relaxed LaDy2Cr2C4 crystal (GGA-PBE).

Cell and atoms, written as POSCAR:
```
LaDy2Cr2C4
1.0
6.805 -1.715 0.000
6.805 1.715 0.000
-2.817 0.000 5.691
La Dy Cr C
1 2 2 4
Direct
0.000 0.000 0.000 La
0.131 0.131 0.555 Dy
0.869 0.869 0.445 Dy
0.322 0.322 0.024 Cr
0.678 0.678 0.976 Cr
0.220 0.220 0.165 C
0.464 0.464 0.278 C
0.536 0.536 0.722 C
0.780 0.780 0.835 C
```

## Properties
Space-group type: C2/m
Energy relative to the elements, eV/atom: 0.01



(5)
Entry from Alexandria via LeMat-Bulk: a relaxed La2DyCr2C4 crystal (GGA-PBE).

Cell and atoms, written as POSCAR:
```
La2DyCr2C4
1.0
6.700 -1.753 0.000
6.700 1.753 0.000
-1.985 0.000 5.855
La Dy Cr C
2 1 2 4
Direct
0.132 0.132 0.039 La
0.868 0.868 0.961 La
0.000 0.000 0.500 Dy
0.319 0.319 0.499 Cr
0.681 0.681 0.501 Cr
0.213 0.213 0.663 C
0.445 0.445 0.724 C
0.555 0.555 0.276 C
0.787 0.787 0.337 C
```

## Properties
Space-group type: C2/m
Energy relative to the elements, eV/atom: -0.13



(6)
Entry from Alexandria via LeMat-Bulk: a relaxed LiDyCrC crystal (GGA-PBE).

Cell and atoms, written as POSCAR:
```
LiDyCrC
1.0
3.330 0.000 0.000
0.000 3.330 0.000
0.000 0.000 11.087
Li Dy Cr C
2 2 2 2
Direct
0.250 0.750 0.000 Li
0.750 0.250 0.000 Li
0.250 0.250 0.272 Dy
0.750 0.750 0.728 Dy
0.250 0.750 0.500 Cr
0.750 0.250 0.500 Cr
0.250 0.250 0.619 C
0.750 0.750 0.381 C
```

## Properties
Space-group type: P4/nmm
Energy relative to the elements, eV/atom: -0.05